# Ac4SiSe3

A relaxed structure of Ac4SiSe3 (PBE-GGA, the Alexandria database).

```
data_Ac4SiSe3
_space_group_name_H-M_alt 'C m m m'
_space_group_IT_number 65
_space_group_name_Hall '-C 2 2'
_cell_length_a 9.022
_cell_length_b 12.765
_cell_length_c 4.516
_cell_angle_alpha 90.00
_cell_angle_beta 90.00
_cell_angle_gamma 90.00
loop_
_atom_site_label
_atom_site_fract_x
_atom_site_fract_y
_atom_site_fract_z
_atom_site_occupancy
Ac1 0.000 0.244 0.000 1
Ac2 0.240 0.000 0.500 1
Si1 0.000 0.000 0.000 1
Se1 0.000 0.500 0.000 1
Se2 0.250 0.250 0.500 1
```

Properties
For the formation energy from raw total energies, the calculation gives -1610 meV/atom. For the size of the total moment, the calculation gives 0.00 μB per cell.

***

# BeSN2O

A relaxed structure of BeSN2O (PBE-GGA, the Alexandria database).

```
data_BeSN2O
_space_group_name_H-M_alt 'P 4/m m m'
_space_group_IT_number 123
_space_group_name_Hall '-P 4 2'
_cell_length_a 3.681
_cell_length_b 3.681
_cell_length_c 3.761
_cell_angle_alpha 90.00
_cell_angle_beta 90.00
_cell_angle_gamma 90.00
loop_
_atom_site_label
_atom_site_fract_x
_atom_site_fract_y
_atom_site_fract_z
_atom_site_occupancy
Be1 0.000 0.000 0.000 1
S1 0.500 0.500 0.000 1
N1 0.000 0.500 0.500 1
O1 0.500 0.500 0.500 1
```

Properties
For the formation energy from raw total energies, the calculation gives 2170 meV/atom. For the size of the total moment, the calculation gives 1.20 μB per cell.

***

# BaCeIn2Au4

A relaxed structure of BaCeIn2Au4 (PBE-GGA, the Alexandria database).

```
data_BaCeIn2Au4
_space_group_name_H-M_alt 'R -3 m'
_space_group_IT_number 166
_space_group_name_Hall '-R 3 2"'
_cell_length_a 4.9428
_cell_length_b 4.9428
_cell_length_c 29.0443
_cell_angle_alpha 90.00
_cell_angle_beta 90.00
_cell_angle_gamma 120.00
loop_
_atom_site_label
_atom_site_fract_x
_atom_site_fract_y
_atom_site_fract_z
_atom_site_occupancy
Ba1 0.0000 0.0000 0.0000 1
Ce1 0.0000 0.0000 0.5000 1
In1 0.0000 0.0000 0.2379 1
Au1 0.0000 0.0000 0.1230 1
Au2 0.0000 0.0000 0.3968 1
```

Properties
For the formation energy, the calculation gives -0.56 eV per atom. For the size of the total moment, the calculation gives 1.86 μB per cell.

***

| no. | DFT total energy (eV/atom) |
| --- | --- |
| 1 | -5.649 |
| 2 | -3.723 |
| 3 | -3.870 |